Entry 1:
This record from the Alexandria database describes a relaxed SbRuS2Cl crystal. The functional is GGA-PBE.

The structure in extended XYZ format:
```
5
Lattice="5.081 0.000 0.000 0.000 5.081 0.000 0.000 0.000 5.071" Properties=species:S:1:pos:R:3 pbc="T T T"
Ru 2.541 2.541 2.536
Cl 0.000 0.000 2.536
Sb 0.000 0.000 0.000
S 0.000 2.541 0.000
S 2.541 0.000 0.000
```

Properties
space-group type	P4/mmm
crystal system	tetragonal
calculated total energy	-18.97	eV for the cell shown
distance to the lowest polymorph of the same formula	3.48	eV/f.u.

Entry 2:
This record from the Alexandria database describes a relaxed RuSeSCl2 crystal. The functional is GGA-PBE.

The structure in extended XYZ format:
```
5
Lattice="4.938 0.000 0.000 0.000 4.938 0.000 0.000 0.000 4.976" Properties=species:S:1:pos:R:3 pbc="T T T"
Cl 2.469 0.000 0.000
Cl 0.000 2.469 0.000
S 0.000 0.000 2.488
Se 0.000 0.000 0.000
Ru 2.469 2.469 2.488
```

Properties
space-group type	P4/mmm
crystal system	tetragonal
calculated total energy	-15.68	eV for the cell shown
distance to the lowest polymorph of the same formula	3.19	eV/f.u.

Entry 3:
This record from the Alexandria database describes a relaxed RuSeSCl2 crystal. The functional is GGA-PBE.

The structure in extended XYZ format:
```
5
Lattice="4.790 0.000 0.000 0.000 4.790 0.000 0.000 0.000 4.544" Properties=species:S:1:pos:R:3 pbc="T T T"
Cl 0.000 2.395 0.000
Cl 2.395 0.000 0.000
S 0.000 0.000 2.272
Ru 0.000 0.000 0.000
Se 2.395 2.395 2.272
```

Properties
space-group type	P4/mmm
crystal system	tetragonal
calculated total energy	-18.87	eV for the cell shown
distance to the lowest polymorph of the same formula	0.00	eV/f.u.

Entry 4:
This record from the Alexandria database describes a relaxed SiRuSCl2 crystal. The functional is GGA-PBE.

The structure in extended XYZ format:
```
5
Lattice="4.681 0.000 0.000 0.000 4.681 0.000 0.000 0.000 4.715" Properties=species:S:1:pos:R:3 pbc="T T T"
S 0.000 0.000 2.358
Cl 0.000 2.341 0.000
Cl 2.341 0.000 0.000
Ru 2.341 2.341 2.358
Si 0.000 0.000 0.000
```

Properties
space-group type	P4/mmm
crystal system	tetragonal
calculated total energy	-19.44	eV for the cell shown
distance to the lowest polymorph of the same formula	1.12	eV/f.u.

Entry 5:
This record from the Alexandria database describes a relaxed SiRuSCl2 crystal. The functional is GGA-PBE.

The structure in extended XYZ format:
```
5
Lattice="-3.379 2.716 -2.099 -1.148 -3.670 -2.901 -3.040 -1.442 3.028" Properties=species:S:1:pos:R:3 pbc="T T T"
Ru 0.000 0.000 0.000
Si -3.784 -1.198 -0.986
Cl -0.574 -1.835 -1.450
Cl -1.690 1.358 -1.050
S -1.520 -0.721 1.514
```

Properties
space-group type	P4/mmm
crystal system	tetragonal
calculated total energy	-20.56	eV for the cell shown
distance to the lowest polymorph of the same formula	0.00	eV/f.u.

Entry 6:
This record from the Alexandria database describes a relaxed SiRuS2Cl crystal. The functional is GGA-PBE.

The structure in extended XYZ format:
```
5
Lattice="4.601 0.000 0.000 0.000 4.601 0.000 0.000 0.000 4.788" Properties=species:S:1:pos:R:3 pbc="T T T"
S 2.300 0.000 0.000
S 0.000 2.300 0.000
Ru 0.000 0.000 0.000
Si 2.300 2.300 2.394
Cl 0.000 0.000 2.394
```

Properties
space-group type	P4/mmm
crystal system	tetragonal
calculated total energy	-22.40	eV for the cell shown
distance to the lowest polymorph of the same formula	0.00	eV/f.u.

Entry 7:
This record from the Alexandria database describes a relaxed SiRuS2Cl crystal. The functional is GGA-PBE.

The structure in extended XYZ format:
```
5
Lattice="-3.339 -2.988 0.857 1.698 -2.807 -3.170 2.617 -2.012 3.184" Properties=species:S:1:pos:R:3 pbc="T T T"
Si 0.000 0.000 0.000
S -1.670 -1.494 0.428
S 0.849 -1.404 -1.585
Cl 1.309 -1.006 1.592
Ru 0.488 -3.904 0.436
```

Properties
space-group type	P4/mmm
crystal system	tetragonal
calculated total energy	-21.36	eV for the cell shown
distance to the lowest polymorph of the same formula	1.04	eV/f.u.

Entry 8:
This record from the Alexandria database describes a relaxed Sm4RuS2Cl crystal. The functional is GGA-PBE.

The structure in extended XYZ format:
```
8
Lattice="3.906 0.000 0.000 0.000 7.164 -0.317 0.000 2.363 6.764" Properties=species:S:1:pos:R:3 pbc="T T T"
Cl 0.000 4.763 3.223
Sm 1.953 3.581 5.191
Sm 1.953 5.946 1.255
Sm 3.906 2.357 1.520
Sm 0.000 7.171 4.926
S 0.000 2.363 6.764
S 1.953 1.182 3.382
Ru 1.953 3.582 -0.159
```

Properties
space-group type	P2/m
crystal system	monoclinic
calculated total energy	-49.19	eV for the cell shown

Entry 9:
This record from the Alexandria database describes a relaxed Sm6Ru2SCl3 crystal. The functional is GGA-PBE.

The structure in extended XYZ format:
```
12
Lattice="-3.318 4.019 -4.747 3.992 -5.406 -2.130 -6.065 -3.980 2.608" Properties=species:S:1:pos:R:3 pbc="T T T"
Sm 0.183 -2.796 -0.671
Sm -3.031 -5.849 -2.688
Sm -0.758 -1.814 -4.414
Sm -2.360 0.483 -1.581
Sm -5.574 -2.570 -3.598
Sm -4.632 -3.553 0.144
Ru -0.886 0.883 -3.877
Ru 1.560 -2.270 -3.001
Cl -2.695 -2.683 -2.135
Cl -5.162 0.498 -3.018
Cl -0.228 -5.864 -1.252
S 0.000 0.000 0.000
```

Properties
space-group type	C2/m
crystal system	monoclinic
calculated total energy	-70.66	eV for the cell shown

Entry 10:
This record from the Alexandria database describes a relaxed SnRuS2Cl crystal. The functional is GGA-PBE.

The structure in extended XYZ format:
```
5
Lattice="-1.247 4.026 2.037 -3.097 -2.301 2.651 3.438 -0.672 3.433" Properties=species:S:1:pos:R:3 pbc="T T T"
S -1.549 -1.150 1.326
S -0.624 2.013 1.018
Ru 0.000 0.000 0.000
Sn -0.453 0.527 4.060
Cl 1.719 -0.336 1.716
```

Properties
space-group type	P4/mmm
crystal system	tetragonal
calculated total energy	-23.35	eV for the cell shown
distance to the lowest polymorph of the same formula	0.00	eV/f.u.

Entry 11:
This record from the Alexandria database describes a relaxed SnRuS2Cl crystal. The functional is GGA-PBE.

The structure in extended XYZ format:
```
5
Lattice="-0.017 4.846 -1.337 -4.671 0.480 1.797 1.859 1.247 4.498" Properties=species:S:1:pos:R:3 pbc="T T T"
S -0.008 2.423 -0.669
S -2.335 0.240 0.899
Sn 0.000 0.000 0.000
Cl 0.929 0.624 2.249
Ru -1.414 3.287 2.479
```

Properties
space-group type	P4/mmm
crystal system	tetragonal
calculated total energy	-19.29	eV for the cell shown
distance to the lowest polymorph of the same formula	4.05	eV/f.u.

Entry 12:
This record from the Alexandria database describes a relaxed SrRuS2Cl crystal. The functional is GGA-PBE.

The structure in extended XYZ format:
```
5
Lattice="5.580 0.000 0.000 0.000 5.580 0.000 0.000 0.000 5.374" Properties=species:S:1:pos:R:3 pbc="T T T"
Sr 0.000 0.000 0.000
S 2.790 0.000 0.000
S 0.000 2.790 0.000
Cl 0.000 0.000 2.687
Ru 2.790 2.790 2.687
```

Properties
space-group type	P4/mmm
crystal system	tetragonal
calculated total energy	-18.12	eV for the cell shown
distance to the lowest polymorph of the same formula	7.05	eV/f.u.

Entry 13:
This record from the Alexandria database describes a relaxed SrRuS2Cl crystal. The functional is GGA-PBE.

The structure in extended XYZ format:
```
5
Lattice="4.720 0.000 0.000 0.000 4.720 0.000 0.000 0.000 4.957" Properties=species:S:1:pos:R:3 pbc="T T T"
Sr 2.360 2.360 2.478
Cl 0.000 0.000 2.478
Ru 0.000 0.000 0.000
S 2.360 0.000 0.000
S 0.000 2.360 0.000
```

Properties
space-group type	P4/mmm
crystal system	tetragonal
calculated total energy	-25.16	eV for the cell shown
distance to the lowest polymorph of the same formula	0.00	eV/f.u.

Entry 14:
This record from the Alexandria database describes a relaxed Ta2RuSCl crystal. The functional is GGA-PBE.

The structure in extended XYZ format:
```
5
Lattice="-4.004 0.025 -2.211 -2.065 -0.105 3.738 -0.033 4.573 0.110" Properties=species:S:1:pos:R:3 pbc="T T T"
Ta -2.002 0.012 -1.106
Ta -0.016 2.286 0.055
S -3.051 2.247 0.818
Ru -1.032 -0.052 1.869
Cl 0.000 0.000 0.000
```

Properties
space-group type	P4/mmm
crystal system	tetragonal
calculated total energy	-33.31	eV for the cell shown

Number 1: ΔE_f (raw) 0.905 eV per atom. Number 2: ΔE_f (raw) 0.981 eV per atom. Number 3: ΔE_f (raw) 0.342 eV per atom. Number 4: ΔE_f (raw) 0.617 eV per atom. Number 5: ΔE_f (raw) 0.393 eV per atom. Number 6: ΔE_f (raw) 0.481 eV per atom. Number 7: ΔE_f (raw) 0.688 eV per atom. Number 8: ΔE_f (raw) -1.367 eV per atom. Number 9: ΔE_f (raw) -1.177 eV per atom. Number 10: ΔE_f (raw) 0.007 eV per atom. Number 11: ΔE_f (raw) 0.818 eV per atom. Number 12: ΔE_f (raw) 0.589 eV per atom. Number 13: ΔE_f (raw) -0.821 eV per atom. Number 14: ΔE_f (raw) 1.129 eV per atom.